No. 1
RbMn: optimized geometry, GGA-PBE.

The value obtained for the energy above the lowest structure with this stoichiometry is 0 meV/atom. The calculation puts the formation energy at 0.799 eV/atom.

The structure belongs to space group I4/m (No. 87); the cell edges are 12.916, 12.916 and 3.987 Å and the angles 90.00°, 90.00° and 90.00°. The asymmetric unit holds Rb at (0.117, 0.194, 0.000) and Mn at (0.020, 0.597, 0.500).

---

No. 2
CsLi4In3F12: optimized geometry, GGA-PBE.

For the uncorrected formation energy, the calculation gives -2.538 eV/atom.

The structure belongs to space group R32 (No. 155, hexagonal axes); the cell edges are 11.9046, 11.9046 and 8.1577 Å and the angles 90.00°, 90.00° and 120.00°. The asymmetric unit holds Cs at (0.0000, 0.0000, 0.0000), Li at (0.0000, 0.0000, 0.5000), Li at (0.0000, 0.4352, 0.5000), In at (0.0000, 0.5599, 0.0000), F at (0.0000, 0.5943, 0.5000), F at (0.0000, 0.8435, 0.5000) and F at (0.0548, 0.2375, 0.1848).

---

No. 3
NiRhAu2: optimized geometry, GGA-PBE.

The value obtained for the energy above the lowest structure with this stoichiometry is 97 meV/atom. The calculation puts the formation energy at 0.182 eV/atom.

The structure belongs to space group Imm2 (No. 44); the cell edges are 2.841, 4.674 and 9.362 Å and the angles 90.00°, 90.00° and 90.00°. The asymmetric unit holds Ni at (0.000, 0.000, 0.000), Rh at (0.000, 0.500, 0.722), Au at (0.000, 0.000, 0.486) and Au at (0.000, 0.500, 0.258).

---

No. 4
RbTiCdNi2: optimized geometry, GGA-PBE.

The calculation puts the formation energy at 1.089 eV/atom.

The structure belongs to space group P4/mmm (No. 123); the cell edges are 4.604, 4.604 and 6.189 Å and the angles 90.00°, 90.00° and 90.00°. The asymmetric unit holds Rb at (0.000, 0.000, 0.000), Ti at (0.000, 0.000, 0.500), Cd at (0.500, 0.500, 0.000) and Ni at (0.000, 0.500, 0.500).